Record 1
This record from the Alexandria database describes Ca2ZnSnPd6 after structural relaxation. The functional is PBE-GGA.

```
Ca2ZnSnPd6
1.0
-3.7925 0.8052 5.6441
3.4520 -5.0705 3.0430
3.0381 1.0711 6.0423
Pd Zn Ca Sn
6 1 2 1
Cartesian
1.5868 -3.5577 3.7127
1.3117 -2.6156 9.5618
1.3860 -0.5787 5.1675
-0.0877 -1.0982 2.2367
-1.9273 -0.7076 4.9744
-0.2528 -3.1671 6.4503
-0.1702 -2.1327 4.3435
3.1599 -3.0661 6.7144
-0.4623 -0.1282 8.0149
0.0000 0.0000 0.0000
```

Results
The density of states at the Fermi level comes out at 0.527 states/eV/atom. For the energy relative to the elements, the calculation gives -2.1 eV/f.u.

Record 2
This record from the Alexandria database describes La3Sm3Hg4 after structural relaxation. The functional is PBE-GGA.

```
La3Sm3Hg4
1.0
3.9214 0.0000 0.0000
0.0000 8.8699 -0.0112
0.0000 0.0669 8.8696
Sm La Hg
3 3 4
Cartesian
0.0000 4.4738 8.8524
1.9607 1.5264 7.3972
0.0000 0.0453 4.4627
1.9607 5.9346 5.9189
1.9607 2.9658 2.9762
1.9607 7.4339 1.4375
0.0000 5.6196 3.2678
0.0000 3.2558 5.6525
0.0000 1.2088 1.1080
0.0000 7.8181 7.6595
```

Results
The density of states at the Fermi level comes out at 1.228 states/eV/atom. For the energy relative to the elements, the calculation gives -3.6 eV/f.u.